Here is Sm3TeSN after structural relaxation from Alexandria via LeMat-Bulk. Energies are from PBE.

POSCAR file:
```
Sm3TeSN
1.0
-4.045 -0.115 0.169
0.288 -8.633 1.026
0.291 2.804 8.890
Sm Te N S
6 2 2 2
Cartesian
-0.730 1.288 7.666
-0.597 -2.520 8.267
-2.869 -3.424 1.818
-2.735 -7.232 2.419
-0.628 -5.872 5.238
-2.837 -0.072 4.847
-2.567 -4.973 7.977
-0.898 -0.971 2.109
-2.656 -6.818 4.602
-0.810 0.874 5.483
-2.692 -0.713 7.904
-0.774 -5.231 2.181
```

Crystal system: monoclinic
E_form (uncorrected): -1.542 eV per atom
V: 26.91 A^3/atom
Spin magnetization: 0.0 μB per cell